Entry 1:
Compound: Y2CoAu
Source: OQMD
Functional: PBE
Structure: optimized geometry

abc: 4.151 5.691 5.691
angles: 41.20 90.00 90.00
Element x y z (fractional)
Y (0.000, 0.000, 0.000)
Y (0.500, 0.292, 0.292)
Co (0.500, 0.557, 0.557)
Au (0.000, 0.713, 0.713)

Values from the calculation:
* energy of formation from the pure elements: -0.468 eV/atom
* magnetization: 0.01 μB per formula unit
* space group: Amm2 (38)

Entry 2:
Compound: Tm6TcSb2
Source: OQMD
Functional: PBE
Structure: optimized geometry

abc: 8.062 8.062 4.224
angles: 90.00 90.00 120.00
Element x y z (fractional)
Tm (0.000, 0.393, 0.000)
Tm (0.000, 0.764, 0.500)
Tm (0.236, 0.236, 0.500)
Tm (0.393, 0.000, 0.000)
Tm (0.607, 0.607, 0.000)
Tm (0.764, 0.000, 0.500)
Tc (0.000, 0.000, 0.000)
Sb (0.333, 0.667, 0.500)
Sb (0.667, 0.333, 0.500)

Values from the calculation:
* magnetization: 0.00 μB per formula unit
* space group: P-62m (189)
* total DFT energy (no corrections): -0.4169 Ry per atom

Entry 3:
Compound: CoSiNiHg
Source: OQMD
Functional: PBE
Structure: optimized geometry

abc: 4.239 4.239 4.239
angles: 60.00 60.00 60.00
Element x y z (fractional)
Co (0.000, 0.000, 0.000)
Si (0.750, 0.750, 0.750)
Ni (0.500, 0.500, 0.500)
Hg (0.250, 0.250, 0.250)

Values from the calculation:
* distance to the lowest polymorph of the same formula: 0 meV/atom
* magnetization: 0.04 μB per formula unit
* space group: F-43m (216)

Entry 4:
Compound: Dy3Si3Ni
Source: OQMD
Functional: PBE
Structure: optimized geometry

abc: 5.584 5.584 13.542
angles: 109.08 109.08 44.10
Element x y z (fractional)
Dy (0.031, 0.031, 0.380)
Dy (0.102, 0.102, 0.922)
Dy (0.247, 0.247, 0.228)
Dy (0.753, 0.753, 0.772)
Dy (0.898, 0.898, 0.078)
Dy (0.969, 0.969, 0.620)
Si (0.363, 0.363, 0.457)
Si (0.387, 0.387, 0.924)
Si (0.453, 0.453, 0.764)
Si (0.547, 0.547, 0.236)
Si (0.613, 0.613, 0.076)
Si (0.637, 0.637, 0.543)
Ni (0.252, 0.252, 0.597)
Ni (0.748, 0.748, 0.403)

Values from the calculation:
* magnetization: 0.00 μB per formula unit
* space group: C2/m (12)
* total DFT energy (no corrections): -0.4347 Ry per atom

Entry 5:
Compound: Ta4Cu2CN
Source: OQMD
Functional: PBE
Structure: optimized geometry

abc: 3.115 3.115 13.150
angles: 90.00 90.00 120.00
Element x y z (fractional)
Ta (0.333, 0.667, 0.093)
Ta (0.333, 0.667, 0.409)
Ta (0.667, 0.333, 0.591)
Ta (0.667, 0.333, 0.907)
Cu (0.333, 0.667, 0.747)
Cu (0.667, 0.333, 0.253)
C (0.000, 0.000, 0.000)
N (0.000, 0.000, 0.500)

Values from the calculation:
* magnetization: 0.01 μB per formula unit
* space group: P-3m1 (164)
* total DFT energy (no corrections): -0.6895 Ry per atom

Entry 6:
Compound: Pm7GaBr12
Source: OQMD
Functional: PBE
Structure: optimized geometry

abc: 9.415 9.415 9.415
angles: 107.96 107.96 107.96
Element x y z (fractional)
Pm (0.000, 0.000, 0.000)
Pm (0.169, 0.386, 0.462)
Pm (0.386, 0.462, 0.169)
Pm (0.462, 0.169, 0.386)
Pm (0.538, 0.831, 0.614)
Pm (0.614, 0.538, 0.831)
Pm (0.831, 0.614, 0.538)
Ga (0.500, 0.500, 0.500)
Br (0.027, 0.340, 0.108)
Br (0.108, 0.027, 0.340)
Br (0.191, 0.728, 0.578)
Br (0.272, 0.422, 0.809)
Br (0.340, 0.108, 0.027)
Br (0.422, 0.809, 0.272)
Br (0.578, 0.191, 0.728)
Br (0.660, 0.892, 0.973)
Br (0.728, 0.578, 0.191)
Br (0.809, 0.272, 0.422)
Br (0.892, 0.973, 0.660)
Br (0.973, 0.660, 0.892)

Values from the calculation:
* magnetization: 0.08 μB per formula unit
* space group: R-3 (148)
* total DFT energy (no corrections): -0.3252 Ry per atom

Entry 7:
Compound: HfTl2Sb
Source: OQMD
Functional: PBE
Structure: optimized geometry

abc: 5.243 5.243 5.243
angles: 60.00 60.00 60.00
Element x y z (fractional)
Hf (0.000, 0.000, 0.000)
Tl (0.250, 0.250, 0.250)
Tl (0.500, 0.500, 0.500)
Sb (0.750, 0.750, 0.750)

Values from the calculation:
* magnetization: 0.01 μB per formula unit
* space group: F-43m (216)
* total DFT energy (no corrections): -0.3239 Ry per atom

Entry 8:
Compound: ThBiB4
Source: OQMD
Functional: PBE
Structure: optimized geometry

abc: 5.553 5.553 5.553
angles: 145.86 121.26 69.72
Element x y z (fractional)
Th (0.000, 0.000, 0.000)
Bi (0.500, 0.500, 0.000)
B (0.062, 0.739, 0.322)
B (0.417, 0.739, 0.678)
B (0.583, 0.261, 0.322)
B (0.938, 0.261, 0.678)

Values from the calculation:
* distance to the lowest polymorph of the same formula: 0 meV/atom
* magnetization: 0.00 μB per formula unit
* space group: Immm (71)

Entry 9:
Compound: PbAu
Source: OQMD
Functional: PBE
Structure: optimized geometry

abc: 4.053 4.367 5.958
angles: 90.00 109.53 90.00
Element x y z (fractional)
Pb (0.149, 0.250, 0.291)
Pb (0.851, 0.750, 0.709)
Au (0.405, 0.250, 0.825)
Au (0.595, 0.750, 0.175)

Values from the calculation:
* space group: P2_1/m (11)
* total DFT energy (no corrections): -0.2635 Ry per atom

Entry 10:
Compound: SmCoGe2
Source: OQMD
Functional: PBE
Structure: optimized geometry

abc: 8.560 8.560 4.193
angles: 90.00 90.00 151.55
Element x y z (fractional)
Sm (0.108, 0.892, 0.750)
Sm (0.892, 0.108, 0.250)
Co (0.318, 0.682, 0.750)
Co (0.682, 0.318, 0.250)
Ge (0.250, 0.750, 0.250)
Ge (0.455, 0.545, 0.750)
Ge (0.545, 0.455, 0.250)
Ge (0.750, 0.250, 0.750)

Values from the calculation:
* magnetization: 0.00 μB per formula unit
* space group: Cmcm (63)
* total DFT energy (no corrections): -0.4358 Ry per atom

Entry 11:
Compound: ScCoAgSb
Source: OQMD
Functional: PBE
Structure: optimized geometry

abc: 4.602 4.602 4.602
angles: 60.00 60.00 60.00
Element x y z (fractional)
Sc (0.000, 0.000, 0.000)
Co (0.750, 0.750, 0.750)
Ag (0.250, 0.250, 0.250)
Sb (0.500, 0.500, 0.500)

Values from the calculation:
* distance to the lowest polymorph of the same formula: 0 meV/atom
* magnetization: 0.00 μB per formula unit
* space group: F-43m (216)

Entry 12:
Compound: SmCdTe3Pb
Source: OQMD
Functional: PBE
Structure: optimized geometry

abc: 7.803 7.803 11.402
angles: 90.00 90.00 146.68
Element x y z (fractional)
Sm (0.000, 0.000, 0.000)
Sm (0.000, 0.000, 0.500)
Cd (0.477, 0.523, 0.750)
Cd (0.523, 0.477, 0.250)
Te (0.102, 0.898, 0.750)
Te (0.353, 0.647, 0.550)
Te (0.353, 0.647, 0.950)
Te (0.647, 0.353, 0.050)
Te (0.647, 0.353, 0.450)
Te (0.898, 0.102, 0.250)
Pb (0.210, 0.790, 0.250)
Pb (0.790, 0.210, 0.750)

Values from the calculation:
* magnetization: 0.01 μB per formula unit
* space group: Cmcm (63)
* total DFT energy (no corrections): -0.2804 Ry per atom

Entry 13:
Compound: K4Cd2SnPb
Source: OQMD
Functional: PBE
Structure: optimized geometry

abc: 6.542 6.975 6.975
angles: 103.84 90.00 90.00
Element x y z (fractional)
K (0.000, 0.173, 0.827)
K (0.000, 0.827, 0.173)
K (0.500, 0.121, 0.470)
K (0.500, 0.470, 0.121)
Cd (0.251, 0.651, 0.651)
Cd (0.749, 0.651, 0.651)
Sn (0.500, 0.919, 0.919)
Pb (0.000, 0.376, 0.376)

Values from the calculation:
* space group: Amm2 (38)
* total DFT energy (no corrections): -0.1432 Ry per atom

Entry 14:
Compound: TlReO4
Source: OQMD
Functional: PBE
Structure: optimized geometry

abc: 17.217 13.168 5.574
angles: 90.00 90.22 90.00
Element x y z (fractional)
Tl (0.080, 0.129, 0.474)
Tl (0.080, 0.371, 0.974)
Tl (0.245, 0.631, 0.990)
Tl (0.245, 0.869, 0.490)
Tl (0.414, 0.124, 0.494)
Tl (0.414, 0.376, 0.994)
Tl (0.586, 0.624, 0.006)
Tl (0.586, 0.876, 0.506)
Tl (0.755, 0.131, 0.510)
Tl (0.755, 0.369, 0.010)
Tl (0.920, 0.629, 0.026)
Tl (0.920, 0.871, 0.526)
Re (0.084, 0.615, 0.534)
Re (0.084, 0.885, 0.034)
Re (0.250, 0.123, 0.986)
Re (0.250, 0.377, 0.486)
Re (0.418, 0.627, 0.495)
Re (0.418, 0.873, 0.995)
Re (0.582, 0.127, 0.005)
Re (0.582, 0.373, 0.505)
Re (0.750, 0.623, 0.514)
Re (0.750, 0.877, 0.014)
Re (0.916, 0.115, 0.966)
Re (0.916, 0.385, 0.466)
O (0.007, 0.693, 0.439)
O (0.007, 0.807, 0.939)
O (0.076, 0.590, 0.844)
O (0.076, 0.910, 0.344)
O (0.081, 0.501, 0.372)
O (0.081, 0.999, 0.872)
O (0.173, 0.676, 0.479)
O (0.173, 0.824, 0.979)
O (0.178, 0.203, 0.864)
O (0.178, 0.297, 0.364)
O (0.212, 0.056, 0.232)
O (0.212, 0.444, 0.732)
O (0.280, 0.038, 0.762)
O (0.280, 0.462, 0.262)
O (0.330, 0.195, 0.080)
O (0.330, 0.305, 0.580)
O (0.347, 0.705, 0.361)
O (0.347, 0.795, 0.861)
O (0.375, 0.554, 0.722)
O (0.375, 0.946, 0.222)
O (0.457, 0.547, 0.273)
O (0.457, 0.953, 0.773)
O (0.493, 0.700, 0.618)
O (0.493, 0.800, 0.118)
O (0.507, 0.200, 0.882)
O (0.507, 0.300, 0.382)
O (0.543, 0.047, 0.227)
O (0.543, 0.453, 0.727)
O (0.625, 0.054, 0.778)
O (0.625, 0.446, 0.278)
O (0.653, 0.205, 0.139)
O (0.653, 0.295, 0.639)
O (0.670, 0.695, 0.420)
O (0.670, 0.805, 0.920)
O (0.720, 0.538, 0.738)
O (0.720, 0.962, 0.238)
O (0.788, 0.556, 0.268)
O (0.788, 0.944, 0.768)
O (0.822, 0.703, 0.636)
O (0.822, 0.797, 0.136)
O (0.827, 0.176, 0.021)
O (0.827, 0.324, 0.521)
O (0.919, 0.001, 0.128)
O (0.919, 0.499, 0.628)
O (0.924, 0.090, 0.656)
O (0.924, 0.410, 0.156)
O (0.993, 0.193, 0.061)
O (0.993, 0.307, 0.561)

Values from the calculation:
* distance to the lowest polymorph of the same formula: 2 meV/atom
* magnetization: 0.00 μB per formula unit
* space group: P2_1/c (14)

Entry 15:
Compound: NdBiAsO
Source: OQMD
Functional: PBE
Structure: optimized geometry

abc: 4.113 8.480 6.163
angles: 90.00 90.00 90.00
Element x y z (fractional)
Nd (0.000, 0.178, 0.000)
Nd (0.000, 0.822, 0.500)
Bi (0.500, 0.399, 0.562)
Bi (0.500, 0.601, 0.062)
As (0.000, 0.175, 0.495)
As (0.000, 0.825, 0.995)
O (0.500, 0.266, 0.930)
O (0.500, 0.734, 0.430)

Values from the calculation:
* distance to the lowest polymorph of the same formula: 145 meV/atom
* magnetization: 0.01 μB per formula unit
* space group: Pmc2_1 (26)

Entry 16:
Compound: UCl6
Source: OQMD
Functional: PBE
Structure: optimized geometry

abc: 11.061 11.061 6.068
angles: 90.00 90.00 120.00
Element x y z (fractional)
U (0.000, 0.000, 0.000)
U (0.333, 0.667, 0.486)
U (0.667, 0.333, 0.514)
Cl (0.104, 0.209, 0.236)
Cl (0.104, 0.896, 0.236)
Cl (0.125, 0.562, 0.249)
Cl (0.209, 0.104, 0.764)
Cl (0.229, 0.457, 0.722)
Cl (0.229, 0.771, 0.722)
Cl (0.438, 0.562, 0.249)
Cl (0.438, 0.875, 0.249)
Cl (0.457, 0.229, 0.278)
Cl (0.543, 0.771, 0.722)
Cl (0.562, 0.125, 0.751)
Cl (0.562, 0.438, 0.751)
Cl (0.771, 0.229, 0.278)
Cl (0.771, 0.543, 0.278)
Cl (0.791, 0.896, 0.236)
Cl (0.875, 0.438, 0.751)
Cl (0.896, 0.104, 0.764)
Cl (0.896, 0.791, 0.764)

Values from the calculation:
* magnetization: 0.00 μB per formula unit
* space group: P-3m1 (164)
* total DFT energy (no corrections): -0.3436 Ry per atom

Entry 17:
Compound: LiGaTeOs
Source: OQMD
Functional: PBE
Structure: optimized geometry

abc: 4.522 4.522 4.522
angles: 60.00 60.00 60.00
Element x y z (fractional)
Li (0.000, 0.000, 0.000)
Ga (0.750, 0.750, 0.750)
Te (0.250, 0.250, 0.250)
Os (0.500, 0.500, 0.500)

Values from the calculation:
* distance to the lowest polymorph of the same formula: 0 meV/atom
* magnetization: 0.00 μB per formula unit
* space group: F-43m (216)

Entry 18:
Compound: Dy2S
Source: OQMD
Functional: PBE
Structure: optimized geometry

abc: 4.663 4.663 4.663
angles: 60.00 60.00 60.00
Element x y z (fractional)
Dy (0.250, 0.250, 0.250)
Dy (0.750, 0.750, 0.750)
S (0.000, 0.000, 0.000)

Values from the calculation:
* magnetization: 0.67 μB per formula unit
* space group: Fm-3m (225)
* total DFT energy (no corrections): -0.3851 Ry per atom

Entry 19:
Compound: Nb4AlAsN2
Source: OQMD
Functional: PBE
Structure: optimized geometry

abc: 3.219 3.219 12.886
angles: 90.00 90.00 120.00
Element x y z (fractional)
Nb (0.000, 0.000, 0.150)
Nb (0.000, 0.000, 0.850)
Nb (0.333, 0.667, 0.330)
Nb (0.333, 0.667, 0.670)
Al (0.000, 0.000, 0.500)
As (0.333, 0.667, 0.000)
N (0.667, 0.333, 0.242)
N (0.667, 0.333, 0.758)

Values from the calculation:
* magnetization: 0.00 μB per formula unit
* space group: P-6m2 (187)
* total DFT energy (no corrections): -0.6499 Ry per atom

Entry 20:
Compound: GdSnPO
Source: OQMD
Functional: PBE
Structure: optimized geometry

abc: 4.107 4.107 9.706
angles: 90.00 90.00 90.00
Element x y z (fractional)
Gd (0.250, 0.250, 0.107)
Gd (0.750, 0.750, 0.893)
Sn (0.250, 0.750, 0.500)
Sn (0.750, 0.250, 0.500)
P (0.250, 0.250, 0.723)
P (0.750, 0.750, 0.277)
O (0.250, 0.750, 0.000)
O (0.750, 0.250, 0.000)

Values from the calculation:
* distance to the lowest polymorph of the same formula: 52 meV/atom
* magnetization: 0.02 μB per formula unit
* space group: P4/nmm (129)

| no. | volume (Å³ per cell) |
| --- | --- |
| 1 | 88.6 |
| 2 | 237.8 |
| 3 | 53.8 |
| 4 | 275.0 |
| 5 | 110.5 |
| 6 | 675.9 |
| 7 | 101.9 |
| 8 | 80.9 |
| 9 | 99.4 |
| 10 | 146.4 |
| 11 | 68.9 |
| 12 | 381.4 |
| 13 | 309.1 |
| 14 | 1263.7 |
| 15 | 214.9 |
| 16 | 643.0 |
| 17 | 65.4 |
| 18 | 71.7 |
| 19 | 115.6 |
| 20 | 163.7 |